# AlSn2BiPb PBE optimized geometry
# E: -15.662 eV per cell
# energy of formation from the pure elements: 735 meV per atom
# M_tot: 0.000 μB per atom
data_AlSn2BiPb
_cell_length_a 5.925
_cell_length_b 5.925
_cell_length_c 5.425
_cell_angle_alpha 90.00
_cell_angle_beta 90.00
_cell_angle_gamma 90.00
_space_group_name_H-M_alt 'P 4/m m m'
_space_group_IT_number 123
_space_group_name_Hall '-P 4 2'
loop_
_atom_site_label
_atom_site_type_symbol
_atom_site_fract_x
_atom_site_fract_y
_atom_site_fract_z
_atom_site_occupancy
Al1 Al 0.000 0.000 0.000 1
Sn1 Sn 0.000 0.500 0.500 1
Bi1 Bi 0.000 0.000 0.500 1
Pb1 Pb 0.500 0.500 0.000 1